(1)
First-principles (PBE-GGA) data for a geometry-optimized Ta2CuBr structure, as listed in the Alexandria database.

a b c (Å): 5.416 5.416 5.416
angles (deg): 145.79 127.68 64.01
Fractional coordinates of all 4 atoms:
Br: 0.750 0.250 0.500
Cu: 0.250 0.750 0.500
Ta: 0.002 0.002 0.000
Ta: 0.498 0.498 0.000

Output
The value obtained for the total magnetic moment is 0.00 μB per cell. For the density of states at the Fermi level, the calculation gives 2.615 states/eV/cell. As for the symmetry: No. 71. For the energy relative to the lowest polymorph listed for this composition, the calculation gives 353 meV/atom. The uncorrected formation energy comes out at 0.621 eV per atom. The density is 12.01 Mg/m³.

(2)
First-principles (PBE-GGA) data for a geometry-optimized YIn2Pt2 structure, as listed in the Alexandria database.

a b c (Å): 8.176 8.176 3.026
angles (deg): 90.00 90.00 90.00
Fractional coordinates of all 10 atoms:
Y: 0.000 0.000 0.000
Y: 0.500 0.500 0.000
Pt: 0.171 0.671 0.500
Pt: 0.671 0.829 0.500
Pt: 0.829 0.329 0.500
Pt: 0.329 0.171 0.500
In: 0.372 0.872 0.000
In: 0.872 0.628 0.000
In: 0.628 0.128 0.000
In: 0.128 0.372 0.000

Output
The value obtained for the total magnetic moment is 0.43 μB per cell. For the density of states at the Fermi level, the calculation gives 6.271 states/eV/cell. The value obtained for the formation energy from the elements is -0.53 eV/atom. As for the symmetry: No. 127. The density is 11.63 Mg/m³.

(3)
First-principles (PBE-GGA) data for a geometry-optimized SiNi structure, as listed in the Alexandria database.

a b c (Å): 4.551 4.551 5.034
angles (deg): 90.00 90.00 90.00
Fractional coordinates of all 8 atoms:
Si: 0.807 0.193 0.000
Si: 0.307 0.307 0.500
Si: 0.693 0.693 0.500
Si: 0.193 0.807 0.000
Ni: 0.695 0.695 0.000
Ni: 0.195 0.805 0.500
Ni: 0.805 0.195 0.500
Ni: 0.305 0.305 0.000

Output
The value obtained for the total magnetic moment is 0.00 μB per cell. For the density of states at the Fermi level, the calculation gives 3.772 states/eV/cell. As for the symmetry: No. 136. The uncorrected formation energy comes out at -0.104 eV per atom. The density is 5.53 Mg/m³.